# 1
First-principles (PBE) data for a relaxed CrH2Cl6 crystal, as listed in the Alexandria database.

Cell and atoms, written as POSCAR:
```
CrH2Cl6
1.0
7.053 -6.173 0.000
7.053 6.173 0.000
-0.258 0.000 5.837
Cr H Cl
2 4 12
Cartesian
6.860 5.125 4.378 Cr
6.989 -5.125 1.459 Cr
5.012 0.281 3.250 H
5.141 -0.281 0.332 H
8.708 0.281 5.506 H
8.837 -0.281 2.587 H
1.124 0.777 3.429 Cl
5.414 3.704 5.147 Cl
1.253 -0.777 0.510 Cl
5.063 1.075 2.214 Cl
8.306 3.704 3.609 Cl
4.934 -1.075 5.133 Cl
8.915 1.075 0.704 Cl
5.543 -3.704 2.229 Cl
8.786 -1.075 3.623 Cl
12.596 0.777 5.327 Cl
8.435 -3.704 0.690 Cl
12.725 -0.777 2.409 Cl
```

Summary:
Its symmetry is C2/c, No. 15. For the total energy, the calculation gives -3.74 eV per atom. The value obtained for the total magnetization is 2.0 μB/f.u.

---

# 2
First-principles (PBE) data for a relaxed GaBiSO2 crystal, as listed in the Alexandria database.

Cell and atoms, written as POSCAR:
```
GaBiSO2
1.0
3.975 0.000 0.000
0.000 3.975 0.000
0.000 0.000 4.861
Ga Bi S O
1 1 1 2
Cartesian
0.000 0.000 0.000 Ga
1.987 1.987 0.000 Bi
0.000 0.000 2.431 S
0.000 1.987 2.431 O
1.987 0.000 2.431 O
```

Summary:
Its symmetry is P4/mmm, No. 123. As for the formation energy from raw total energies: 0.089 eV per atom. The value obtained for the total magnetization is 0.0 μB/f.u.

---

# 3
First-principles (PBE) data for a relaxed SiSe2NCl crystal, as listed in the Alexandria database.

Cell and atoms, written as POSCAR:
```
SiSe2NCl
1.0
5.085 0.000 0.000
0.000 5.085 0.000
0.000 0.000 3.810
Si Se N Cl
1 2 1 1
Cartesian
0.000 0.000 0.000 Si
0.000 2.542 1.905 Se
2.542 0.000 1.905 Se
2.542 2.542 0.000 N
2.542 2.542 1.905 Cl
```

Summary:
Its symmetry is P4/mmm, No. 123. As for the energy above the lowest structure with this stoichiometry: 1106.5 meV per atom. As for the formation energy from raw total energies: 1.571 eV per atom. The value obtained for the total magnetization is 1.5 μB/f.u.

---

# 4
First-principles (PBE) data for a relaxed NbGeSbTe2 crystal, as listed in the Alexandria database.

Cell and atoms, written as POSCAR:
```
NbGeSbTe2
1.0
5.238 0.000 0.000
0.000 5.238 0.000
0.000 0.000 5.207
Nb Ge Sb Te
1 1 1 2
Cartesian
0.000 0.000 0.000 Nb
2.619 2.619 2.603 Ge
2.619 2.619 0.000 Sb
0.000 2.619 2.603 Te
2.619 0.000 2.603 Te
```

Summary:
Its symmetry is P4/mmm, No. 123. As for the energy above the lowest structure with this stoichiometry: 574.5 meV per atom. As for the formation energy from raw total energies: 1.068 eV per atom. The value obtained for the total magnetization is 0.0 μB/f.u.

---

# 5
First-principles (PBE) data for a relaxed LiCaRh2 crystal, as listed in the Alexandria database.

Cell and atoms, written as POSCAR:
```
LiCaRh2
1.0
3.209 0.000 0.000
0.000 3.209 0.000
0.000 0.000 6.405
Li Ca Rh
1 1 2
Cartesian
0.000 0.000 0.000 Li
0.000 0.000 3.202 Ca
1.604 1.604 1.310 Rh
1.604 1.604 5.095 Rh
```

Summary:
Its symmetry is P4/mmm, No. 123. For the total energy, the calculation gives -4.71 eV per atom. The value obtained for the total magnetization is 0.2 μB/f.u.

---

# 6
First-principles (PBE) data for a relaxed ZrFe3Cl crystal, as listed in the Alexandria database.

Cell and atoms, written as POSCAR:
```
ZrFe3Cl
1.0
4.165 0.000 0.000
0.000 4.165 0.000
0.000 0.000 4.165
Zr Fe Cl
1 3 1
Cartesian
0.000 0.000 0.000 Zr
0.000 2.083 2.083 Fe
2.083 0.000 2.083 Fe
2.083 2.083 0.000 Fe
2.083 2.083 2.083 Cl
```

Summary:
Its symmetry is Pm-3m, No. 221. As for the energy above the lowest structure with this stoichiometry: 0.0 meV per atom. As for the formation energy from raw total energies: 0.525 eV per atom. The value obtained for the total magnetization is 3.7 μB/f.u.